This record from OQMD via LeMat-Bulk describes crystalline Na4CdGe2Au at its relaxed geometry. The functional is GGA-PBE.

Computed properties:
* space group: No. 115
* raw total energy: -19.77 eV/f.u.

The structure in POSCAR format:
```
Na4CdGe2Au
1.0
4.893 0.000 0.000
0.000 4.893 0.000
0.000 0.000 6.945
Na Cd Ge Au
4 1 2 1
direct
0.000 0.000 0.000
0.000 0.500 0.737
0.500 0.000 0.263
0.500 0.500 0.500
0.500 0.500 0.000
0.000 0.500 0.257
0.500 0.000 0.743
0.000 0.000 0.500
```